## BaAg2W (SCAN)

Data for BaAg2W at its PBEsol-relaxed geometry.

a = 4.848 Å, b = 4.848 Å, c = 6.712 Å
α = 96.37°, β = 96.37°, γ = 35.31°
Fractional coordinates of all 4 atoms:
Ba1 0.000 0.000 0.000
Ag1 0.500 0.500 0.518
Ag2 0.763 0.763 0.314
W1 0.242 0.242 0.659

Values from the calculation:
Symmetry: No. 8
N(E_F): 2.7 states/eV per cell
Total energy: -42.027 eV per atom
Formation energy: 966 meV per atom

***

## NaSr2Cd2 (SCAN)

Data for NaSr2Cd2 at its PBEsol-relaxed geometry.

a = 8.592 Å, b = 8.592 Å, c = 4.607 Å
α = 90.00°, β = 90.00°, γ = 90.00°
Fractional coordinates of all 10 atoms:
Na1 0.000 0.000 0.000
Na2 0.500 0.500 0.000
Sr1 0.169 0.331 0.500
Sr2 0.331 0.831 0.500
Sr3 0.669 0.169 0.500
Sr4 0.831 0.669 0.500
Cd1 0.124 0.624 0.000
Cd2 0.376 0.124 0.000
Cd3 0.624 0.876 0.000
Cd4 0.876 0.376 0.000

Values from the calculation:
Symmetry: No. 127
N(E_F): 7.2 states/eV per cell
Total energy: -22.204 eV per atom
Formation energy: -285 meV per atom

***

## Mn4FeAs (SCAN)

Data for Mn4FeAs at its PBEsol-relaxed geometry.

a = 4.586 Å, b = 4.586 Å, c = 4.586 Å
α = 60.00°, β = 60.00°, γ = 60.00°
Fractional coordinates of all 6 atoms:
Mn1 0.125 0.125 0.125
Mn2 0.125 0.125 0.625
Mn3 0.125 0.625 0.125
Mn4 0.625 0.125 0.125
Fe1 0.500 0.500 0.500
As1 0.750 0.750 0.750

Values from the calculation:
Symmetry: No. 216
N(E_F): 7.9 states/eV per cell
Total energy: -18.106 eV per atom
Formation energy: 451 meV per atom

***

## YScTl2 (SCAN)

Data for YScTl2 at its PBEsol-relaxed geometry.

a = 10.514 Å, b = 10.514 Å, c = 10.514 Å
α = 18.72°, β = 18.72°, γ = 18.72°
Fractional coordinates of all 4 atoms:
Y1 0.000 0.000 0.000
Sc1 0.250 0.250 0.250
Tl1 0.503 0.503 0.503
Tl2 0.754 0.754 0.754

Values from the calculation:
Symmetry: No. 160
N(E_F): 3.1 states/eV per cell
Total energy: -46.789 eV per atom
Formation energy: -89 meV per atom

***

## SrTl2Ru (SCAN)

Data for SrTl2Ru at its PBEsol-relaxed geometry.

a = 4.479 Å, b = 4.479 Å, c = 4.634 Å
α = 90.00°, β = 90.00°, γ = 90.00°
Fractional coordinates of all 4 atoms:
Sr1 0.000 0.000 0.000
Tl1 0.000 0.500 0.500
Tl2 0.500 0.000 0.500
Ru1 0.500 0.500 0.000

Values from the calculation:
Symmetry: No. 123
N(E_F): 1.6 states/eV per cell
Total energy: -50.145 eV per atom
Formation energy: 309 meV per atom

***

## InAgP2 (SCAN)

Data for InAgP2 at its PBEsol-relaxed geometry.

a = 4.901 Å, b = 4.901 Å, c = 4.901 Å
α = 127.86°, β = 127.86°, γ = 76.86°
Fractional coordinates of all 4 atoms:
In1 0.000 0.000 0.000
Ag1 0.500 0.500 0.000
P1 0.250 0.750 0.500
P2 0.750 0.250 0.500

Values from the calculation:
Symmetry: No. 139
N(E_F): 2.0 states/eV per cell
Total energy: -20.827 eV per atom
Formation energy: 561 meV per atom

***

## CdSe2S (SCAN)

Data for CdSe2S at its PBEsol-relaxed geometry.

a = 4.770 Å, b = 4.770 Å, c = 4.770 Å
α = 60.00°, β = 60.00°, γ = 60.00°
Fractional coordinates of all 4 atoms:
Cd1 0.000 0.000 0.000
Se1 0.250 0.250 0.250
Se2 0.750 0.750 0.750
S1 0.500 0.500 0.500

Values from the calculation:
Symmetry: No. 225
N(E_F): 3.5 states/eV per cell
E_form (uncorrected): 0.54 eV per atom
Total energy: -19.511 eV per atom

***

## MnSb2P (SCAN)

Data for MnSb2P at its PBEsol-relaxed geometry.

a = 9.179 Å, b = 9.179 Å, c = 9.179 Å
α = 19.81°, β = 19.81°, γ = 19.81°
Fractional coordinates of all 4 atoms:
Mn1 0.000 0.000 0.000
Sb1 0.257 0.257 0.257
Sb2 0.474 0.474 0.474
P1 0.717 0.717 0.717

Values from the calculation:
Symmetry: No. 160
N(E_F): 2.3 states/eV per cell
E_form (uncorrected): 0.06 eV per atom
Total energy: -25.731 eV per atom

***

## Tl2TeI (SCAN)

Data for Tl2TeI at its PBEsol-relaxed geometry.

a = 5.625 Å, b = 5.625 Å, c = 5.625 Å
α = 60.00°, β = 60.00°, γ = 60.00°
Fractional coordinates of all 4 atoms:
Tl1 0.250 0.250 0.250
Tl2 0.750 0.750 0.750
Te1 0.000 0.000 0.000
I1 0.500 0.500 0.500

Values from the calculation:
Symmetry: No. 225
N(E_F): 2.6 states/eV per cell
E_form (uncorrected): -0.24 eV per atom
Total energy: -54.913 eV per atom

***

## ZrAl2Se (SCAN)

Data for ZrAl2Se at its PBEsol-relaxed geometry.

a = 5.270 Å, b = 5.270 Å, c = 5.270 Å
α = 134.93°, β = 134.93°, γ = 65.64°
Fractional coordinates of all 4 atoms:
Zr1 0.000 0.000 0.000
Al1 0.500 0.500 0.000
Al2 0.750 0.250 0.500
Se1 0.250 0.750 0.500

Values from the calculation:
Symmetry: No. 119
N(E_F): 3.0 states/eV per cell
E_form (uncorrected): -0.28 eV per atom
Total energy: -16.854 eV per atom

***

## ZrBe2Pb (SCAN)

Data for ZrBe2Pb at its PBEsol-relaxed geometry.

a = 4.940 Å, b = 4.940 Å, c = 4.940 Å
α = 131.06°, β = 131.06°, γ = 71.71°
Fractional coordinates of all 4 atoms:
Zr1 0.000 0.000 0.000
Be1 0.250 0.750 0.500
Be2 0.750 0.250 0.500
Pb1 0.500 0.500 0.000

Values from the calculation:
Symmetry: No. 139
N(E_F): 2.7 states/eV per cell
Total energy: -28.470 eV per atom
Formation energy: 327 meV per atom

***

## Ba2ZrCd (SCAN)

Data for Ba2ZrCd at its PBEsol-relaxed geometry.

a = 6.298 Å, b = 6.298 Å, c = 6.298 Å
α = 134.02°, β = 134.02°, γ = 67.06°
Fractional coordinates of all 4 atoms:
Ba1 0.250 0.750 0.500
Ba2 0.750 0.250 0.500
Zr1 0.000 0.000 0.000
Cd1 0.500 0.500 0.000

Values from the calculation:
Symmetry: No. 139
N(E_F): 3.2 states/eV per cell
Total energy: -34.619 eV per atom
Formation energy: 435 meV per atom

***

## MnZnCl (SCAN)

Data for MnZnCl at its PBEsol-relaxed geometry.

a = 3.166 Å, b = 3.166 Å, c = 5.859 Å
α = 90.00°, β = 90.00°, γ = 120.00°
Fractional coordinates of all 3 atoms:
Mn1 0.000 0.000 0.000
Zn1 0.333 0.667 0.695
Cl1 0.667 0.333 0.279

Values from the calculation:
Symmetry: No. 156
N(E_F): 0.7 states/eV per cell
E_form (uncorrected): -0.39 eV per atom
Total energy: -13.637 eV per atom

***

## ZrCu2Ni (SCAN)

Data for ZrCu2Ni at its PBEsol-relaxed geometry.

a = 2.777 Å, b = 3.357 Å, c = 5.822 Å
α = 90.00°, β = 90.00°, γ = 90.00°
Fractional coordinates of all 4 atoms:
Zr1 0.000 0.000 0.000
Cu1 0.000 0.000 0.511
Cu2 0.500 0.500 0.306
Ni1 0.500 0.500 0.726

Values from the calculation:
Symmetry: No. 25
N(E_F): 2.3 states/eV per cell
Total energy: -19.441 eV per atom
Formation energy: -123 meV per atom

***

## SrCaAg (SCAN)

Data for SrCaAg at its PBEsol-relaxed geometry.

a = 4.299 Å, b = 4.299 Å, c = 6.987 Å
α = 90.00°, β = 90.00°, γ = 120.00°
Fractional coordinates of all 3 atoms:
Sr1 0.000 0.000 0.000
Ca1 0.667 0.333 0.490
Ag1 0.333 0.667 0.725

Values from the calculation:
Symmetry: No. 156
N(E_F): 2.6 states/eV per cell
Total energy: -21.227 eV per atom
Formation energy: -125 meV per atom

***

## CdTeMo2 (SCAN)

Data for CdTeMo2 at its PBEsol-relaxed geometry.

a = 5.292 Å, b = 5.292 Å, c = 2.981 Å
α = 100.43°, β = 100.43°, γ = 113.89°
Fractional coordinates of all 4 atoms:
Cd1 0.000 0.000 0.000
Te1 0.500 0.500 0.000
Mo1 0.000 0.500 0.500
Mo2 0.500 0.000 0.500

Values from the calculation:
Symmetry: No. 12
N(E_F): 3.1 states/eV per cell
E_form (uncorrected): 0.77 eV per atom
Total energy: -33.589 eV per atom

***

## Ti2CuSi2 (SCAN)

Data for Ti2CuSi2 at its PBEsol-relaxed geometry.

a = 6.136 Å, b = 6.136 Å, c = 3.706 Å
α = 90.00°, β = 90.00°, γ = 90.00°
Fractional coordinates of all 10 atoms:
Ti1 0.172 0.328 0.000
Ti2 0.328 0.828 0.000
Ti3 0.672 0.172 0.000
Ti4 0.828 0.672 0.000
Cu1 0.000 0.000 0.500
Cu2 0.500 0.500 0.500
Si1 0.133 0.633 0.500
Si2 0.367 0.133 0.500
Si3 0.633 0.867 0.500
Si4 0.867 0.367 0.500

Values from the calculation:
Symmetry: No. 127
N(E_F): 4.6 states/eV per cell
E_form (uncorrected): -0.59 eV per atom
Total energy: -14.044 eV per atom

***

## EuMg16Al12 (SCAN)

Data for EuMg16Al12 at its PBEsol-relaxed geometry.

a = 9.094 Å, b = 9.094 Å, c = 9.094 Å
α = 109.47°, β = 109.47°, γ = 109.47°
Fractional coordinates of all 29 atoms:
Eu1 0.000 0.000 0.000
Mg1 0.000 0.000 0.359
Mg2 0.000 0.319 0.602
Mg3 0.000 0.359 0.000
Mg4 0.000 0.602 0.319
Mg5 0.283 0.681 0.681
Mg6 0.319 0.000 0.602
Mg7 0.319 0.602 0.000
Mg8 0.359 0.000 0.000
Mg9 0.398 0.398 0.717
Mg10 0.398 0.717 0.398
Mg11 0.602 0.000 0.319
Mg12 0.602 0.319 0.000
Mg13 0.641 0.641 0.641
Mg14 0.681 0.283 0.681
Mg15 0.681 0.681 0.283
Mg16 0.717 0.398 0.398
Al1 0.000 0.631 0.813
Al2 0.000 0.813 0.631
Al3 0.182 0.369 0.369
Al4 0.187 0.187 0.818
Al5 0.187 0.818 0.187
Al6 0.369 0.182 0.369
Al7 0.369 0.369 0.182
Al8 0.631 0.000 0.813
Al9 0.631 0.813 0.000
Al10 0.813 0.000 0.631
Al11 0.813 0.631 0.000
Al12 0.818 0.187 0.187

Values from the calculation:
Symmetry: No. 217
N(E_F): 10.1 states/eV per cell
Total energy: -7.878 eV per atom
Formation energy: -74 meV per atom

***

## Li2CrCuGe (SCAN)

Data for Li2CrCuGe at its PBEsol-relaxed geometry.

a = 4.544 Å, b = 4.544 Å, c = 4.577 Å
α = 90.00°, β = 90.00°, γ = 90.00°
Fractional coordinates of all 5 atoms:
Li1 0.000 0.500 0.000
Li2 0.500 0.000 0.000
Cr1 0.000 0.000 0.000
Cu1 0.000 0.000 0.500
Ge1 0.500 0.500 0.500

Values from the calculation:
Symmetry: No. 123
N(E_F): 2.0 states/eV per cell
Total energy: -10.649 eV per atom
Formation energy: 841 meV per atom

***

## BaSr (SCAN)

Data for BaSr at its PBEsol-relaxed geometry.

a = 7.030 Å, b = 4.248 Å, c = 7.397 Å
α = 90.00°, β = 90.00°, γ = 90.00°
Fractional coordinates of all 4 atoms:
Ba1 0.250 0.000 0.167
Ba2 0.750 0.000 0.833
Sr1 0.250 0.500 0.667
Sr2 0.750 0.500 0.333

Values from the calculation:
Symmetry: No. 51
N(E_F): 4.8 states/eV per cell
Total energy: -30.896 eV per atom
Formation energy: 17 meV per atom